A relaxed structure of HoSc3Ag, computed with PBE. Values from VASP.

```
&SYSTEM
  ibrav = 0, nat = 20, ntyp = 3
/
ATOMIC_SPECIES
Ho 164.93 Ho.upf
Sc 44.96 Sc.upf
Ag 107.87 Ag.upf
CELL_PARAMETERS angstrom
6.407 0.000 0.000
0.000 9.058 0.000
0.000 0.000 8.585
ATOMIC_POSITIONS crystal
Ho 0.224 0.250 0.145
Ho 0.276 0.750 0.645
Ho 0.724 0.250 0.355
Ho 0.776 0.750 0.855
Sc 0.108 0.053 0.830
Sc 0.108 0.447 0.830
Sc 0.240 0.750 0.022
Sc 0.260 0.250 0.522
Sc 0.392 0.553 0.330
Sc 0.392 0.947 0.330
Sc 0.608 0.053 0.670
Sc 0.608 0.447 0.670
Sc 0.740 0.750 0.478
Sc 0.760 0.250 0.978
Sc 0.892 0.553 0.170
Sc 0.892 0.947 0.170
Ag 0.000 0.000 0.500
Ag 0.000 0.500 0.500
Ag 0.500 0.000 0.000
Ag 0.500 0.500 0.000
```

VASP energy	-5.29	eV per atom
space group	Pnma
M_tot	0.01	μB per cell